1.
Below is LiZn8Ag5 after structural relaxation, with properties calculated at the PBE level.

Calculated values
ΔE_f: 0.03 eV/atom
Spin magnetization: 0.000 μB/atom

abc: 7.383 7.383 8.825
angles: 90.00 90.00 90.00
Space group I-4 (No. 82)
Inequivalent atoms, fractional coordinates:
Li 0.000 0.000 0.000 (multiplicity 2)
Zn 0.072 0.166 0.374 (multiplicity 8)
Zn 0.098 0.347 0.985 (multiplicity 8)
Ag 0.000 0.500 0.250 (multiplicity 2)
Ag 0.155 0.290 0.681 (multiplicity 8)

2.
Below is LiFeP after structural relaxation, with properties calculated at the PBE level.

Calculated values
ΔE_f: -0.33 eV/atom
Spin magnetization: 0.000 μB/atom

abc: 5.266 3.513 6.944
angles: 90.00 90.00 90.00
Space group Pnma (No. 62)
Inequivalent atoms, fractional coordinates:
Li 0.131 0.250 0.022 (multiplicity 4)
Fe 0.086 0.250 0.660 (multiplicity 4)
P 0.198 0.250 0.345 (multiplicity 4)

3.
Below is YThPb2 after structural relaxation, with properties calculated at the PBE level.

Calculated values
Excess energy over the best structure of this formula in the dataset: 0.008 eV per atom
ΔE_f: -0.37 eV/atom
Spin magnetization: 0.105 μB/atom

abc: 3.603 3.603 9.003
angles: 90.00 90.00 90.00
Space group P4/mmm (No. 123)
Inequivalent atoms, fractional coordinates:
Y 0.000 0.000 0.000 (multiplicity 1)
Th 0.000 0.000 0.500 (multiplicity 1)
Pb 0.500 0.500 0.242 (multiplicity 2)

N(E_F) / states/eV/f.u.: 5.08; 1.65; 2.79
Electronic total energy / hartree per atom: -0.068; -0.205; -0.209